Record 1
# GGA-PBE AcZr2N4, optimized geometry
data_AcZr2N4
_space_group_name_H-M_alt 'F d d d'
_space_group_IT_number 70
_cell_length_a 9.653
_cell_length_b 9.661
_cell_length_c 9.682
_cell_angle_alpha 90.00
_cell_angle_beta 90.00
_cell_angle_gamma 90.00
loop_
_space_group_symop_operation_xyz
'x,y,z'
'-x,-y,-z'
'-x+1/4,-y+1/4,z'
'x+1/4,y+1/4,-z'
'x,-y+1/4,-z+1/4'
'-x,y+1/4,z+1/4'
'-x+1/4,y,-z+1/4'
'x+1/4,-y,z+1/4'
'x,y+1/2,z+1/2'
'-x,-y+1/2,-z+1/2'
'-x+1/4,-y+3/4,z+1/2'
'x+1/4,y+3/4,-z+1/2'
'x,-y+3/4,-z+3/4'
'-x,y+3/4,z+3/4'
'-x+1/4,y+1/2,-z+3/4'
'x+1/4,-y+1/2,z+3/4'
'x+1/2,y,z+1/2'
'-x+1/2,-y,-z+1/2'
'-x+3/4,-y+1/4,z+1/2'
'x+3/4,y+1/4,-z+1/2'
'x+1/2,-y+1/4,-z+3/4'
'-x+1/2,y+1/4,z+3/4'
'-x+3/4,y,-z+3/4'
'x+3/4,-y,z+3/4'
'x+1/2,y+1/2,z'
'-x+1/2,-y+1/2,-z'
'-x+3/4,-y+3/4,z'
'x+3/4,y+3/4,-z'
'x+1/2,-y+3/4,-z+1/4'
'-x+1/2,y+3/4,z+1/4'
'-x+3/4,y+1/2,-z+1/4'
'x+3/4,-y+1/2,z+1/4'
loop_
_atom_site_label
_atom_site_fract_x
_atom_site_fract_y
_atom_site_fract_z
Ac1 0.125 0.125 0.125
Zr1 0.000 0.000 0.500
N1 0.019 0.019 0.730
# Formation energy from raw total energies (kJ per mole of atoms): -115

---

Record 2
# GGA-PBE Ac2ZrN, optimized geometry
data_Ac2ZrN
_space_group_name_H-M_alt 'R -3 m'
_space_group_IT_number 166
_space_group_name_Hall '-R 3 2"'
_cell_length_a 3.6436
_cell_length_b 3.6436
_cell_length_c 29.7669
_cell_angle_alpha 90.00
_cell_angle_beta 90.00
_cell_angle_gamma 120.00
loop_
_atom_site_label
_atom_site_fract_x
_atom_site_fract_y
_atom_site_fract_z
Ac1 0.0000 0.0000 0.1140
Zr1 0.0000 0.0000 0.0000
N1 0.0000 0.0000 0.5000
# Formation energy from raw total energies (kJ per mole of atoms): -4

---

Record 3
# GGA-PBE Ac2ZrN3, optimized geometry
data_Ac2ZrN3
_space_group_name_H-M_alt 'C 1 2/c 1'
_space_group_IT_number 15
_cell_length_a 6.051
_cell_length_b 11.820
_cell_length_c 12.955
_cell_angle_alpha 90.00
_cell_angle_beta 93.19
_cell_angle_gamma 90.00
loop_
_space_group_symop_operation_xyz
'x,y,z'
'-x,-y,-z'
'-x,y,-z+1/2'
'x,-y,z+1/2'
'x+1/2,y+1/2,z'
'-x+1/2,-y+1/2,-z'
'-x+1/2,y+1/2,-z+1/2'
'x+1/2,-y+1/2,z+1/2'
loop_
_atom_site_label
_atom_site_fract_x
_atom_site_fract_y
_atom_site_fract_z
Ac1 0.225 0.118 0.425
Ac2 0.228 0.199 0.857
Zr1 0.214 0.497 0.832
N1 0.000 0.010 0.750
N2 0.000 0.371 0.750
N3 0.169 0.331 0.382
N4 0.200 0.105 0.042
# Formation energy from raw total energies (kJ per mole of atoms): -116

---

Record 4
# GGA-PBE Na3Ac, optimized geometry
data_Na3Ac
_space_group_name_H-M_alt 'P 4/n m m'
_space_group_IT_number 129
_cell_length_a 4.000
_cell_length_b 4.000
_cell_length_c 19.498
_cell_angle_alpha 90.00
_cell_angle_beta 90.00
_cell_angle_gamma 90.00
loop_
_space_group_symop_operation_xyz
'x,y,z'
'-x,-y,-z'
'-y+1/2,x,z'
'y+1/2,-x,-z'
'-x+1/2,-y+1/2,z'
'x+1/2,y+1/2,-z'
'y,-x+1/2,z'
'-y,x+1/2,-z'
'x+1/2,-y,-z'
'-x+1/2,y,z'
'-y,-x,-z'
'y,x,z'
'-x,y+1/2,-z'
'x,-y+1/2,z'
'y+1/2,x+1/2,-z'
'-y+1/2,-x+1/2,z'
loop_
_atom_site_label
_atom_site_fract_x
_atom_site_fract_y
_atom_site_fract_z
Na1 0.250 0.250 0.059
Na2 0.250 0.250 0.289
Na3 0.250 0.250 0.826
Ac1 0.250 0.250 0.570
# ΔH_f (0 K) (eV/f.u.): 0.2
# Energy relative to the lowest polymorph listed for this composition (meV per atom): 0.0

---

Record 5
# GGA-PBE NaAc, optimized geometry
data_NaAc
_space_group_name_H-M_alt 'P -3 m 1'
_space_group_IT_number 164
_space_group_name_Hall '-P 3 2"'
_cell_length_a 3.9354
_cell_length_b 3.9354
_cell_length_c 12.7903
_cell_angle_alpha 90.00
_cell_angle_beta 90.00
_cell_angle_gamma 120.00
loop_
_atom_site_label
_atom_site_fract_x
_atom_site_fract_y
_atom_site_fract_z
Na1 0.3333 0.6667 0.1204
Ac1 0.3333 0.6667 0.6247
# ΔH_f (0 K) (eV/f.u.): 0.1
# Energy relative to the lowest polymorph listed for this composition (meV per atom): 0.0

---

Record 6
# GGA-PBE NaAc, optimized geometry
data_NaAc
_space_group_name_H-M_alt 'P 1 21/m 1'
_space_group_IT_number 11
_cell_length_a 3.928
_cell_length_b 6.276
_cell_length_c 6.760
_cell_angle_alpha 90.00
_cell_angle_beta 90.03
_cell_angle_gamma 90.00
loop_
_space_group_symop_operation_xyz
'x,y,z'
'-x,-y,-z'
'-x,y+1/2,-z'
'x,-y+1/2,z'
loop_
_atom_site_label
_atom_site_fract_x
_atom_site_fract_y
_atom_site_fract_z
Na1 0.249 0.250 0.427
Ac1 0.250 0.750 0.071
# ΔH_f (0 K) (eV/f.u.): 0.3
# Energy relative to the lowest polymorph listed for this composition (meV per atom): 97.6

---

Record 7
# GGA-PBE Na3Ac, optimized geometry
data_Na3Ac
_space_group_name_H-M_alt 'I 4/m m m'
_space_group_IT_number 139
_space_group_name_Hall '-I 4 2'
_cell_length_a 5.239
_cell_length_b 5.239
_cell_length_c 11.506
_cell_angle_alpha 90.00
_cell_angle_beta 90.00
_cell_angle_gamma 90.00
loop_
_atom_site_label
_atom_site_fract_x
_atom_site_fract_y
_atom_site_fract_z
Na1 0.000 0.000 0.000
Na2 0.000 0.500 0.250
Ac1 0.000 0.000 0.500
# ΔH_f (0 K) (eV/f.u.): 1.0
# Energy relative to the lowest polymorph listed for this composition (meV per atom): 211.6

---

Record 8
# GGA-PBE NaAc5, optimized geometry
data_NaAc5
_space_group_name_H-M_alt 'C m m m'
_space_group_IT_number 65
_space_group_name_Hall '-C 2 2'
_cell_length_a 5.597
_cell_length_b 16.691
_cell_length_c 5.683
_cell_angle_alpha 90.00
_cell_angle_beta 90.00
_cell_angle_gamma 90.00
loop_
_atom_site_label
_atom_site_fract_x
_atom_site_fract_y
_atom_site_fract_z
Na1 0.000 0.000 0.000
Ac1 0.000 0.170 0.500
Ac2 0.000 0.331 0.000
Ac3 0.000 0.500 0.500
# ΔH_f (0 K) (eV/f.u.): 0.6

---

no.,density of states at the Fermi level (states/eV per atom),total moment (Bohr magnetons per cell)
1,0.611,0.000
2,1.287,3.251
3,0.387,0.000
4,0.467,0.000
5,0.854,0.000
6,0.654,0.000
7,0.846,0.001
8,1.484,0.000